Below is a relaxed RbTlGe crystal, with properties calculated at the PBE level.

Results
Its energy of formation from the pure elements is 443 meV per atom. The total magnetization is 0.00 Bohr magnetons per cell.

Cell and atoms, written as CIF:
```
data_RbTlGe
_symmetry_space_group_name_H-M 'P 63/m m c'
_symmetry_Int_Tables_number 194
_symmetry_space_group_name_Hall '-P 6c 2c'
_cell_length_a 6.4915
_cell_length_b 6.4915
_cell_length_c 10.4656
_cell_angle_alpha 90.00
_cell_angle_beta 90.00
_cell_angle_gamma 120.00
loop_
_atom_site_label
_atom_site_fract_x
_atom_site_fract_y
_atom_site_fract_z
Rb1 0.3333 0.6667 0.2500
Tl1 0.0000 0.0000 0.2500
Ge1 0.0000 0.0000 0.0000
```